A crystal of Be2ZnIn relaxed with PBEsol. Source: Alexandria, functional meta-GGA SCAN.

Cell lengths 2.9914, 4.1128, 5.0863 Å; angles 99.55, 90.00, 111.33 degrees
Closest atoms and distances in Å follow each position.
Element x y z (fractional)
Be (0.9946, 0.9892, 0.9657)  3 Be 2.29-2.31, 3 Zn 2.42-2.45
Be (0.2657, 0.5315, 0.8358)  3 Be 2.29-2.31, 2 Zn 2.32
Zn (0.7333, 0.4667, 0.1731)  5 Be 2.32-2.45
In (0.5063, 0.0127, 0.5255)  5 Be 2.63-2.75, 3 Zn 2.71-2.91

Calculated values
* calculated volume: 57.36 Å³/f.u.
* D(E_F): 1.062 states/eV per cell
* energy of formation from the pure elements: 0.352 eV/atom
* SG: Cm (8)

***

A crystal of Be2ZnIn relaxed with PBEsol. Source: Alexandria, functional meta-GGA SCAN.

Cell lengths 3.1646, 3.6643, 4.8834 Å; angles 90.00, 90.00, 90.00 degrees
Closest atoms and distances in Å follow each position.
Element x y z (fractional)
Be (0.0000, 0.0000, 0.9945)  2 In 2.40-2.49, 4 Zn 2.64
Be (0.5000, 0.5000, 0.2396)  1 Zn 2.24
Zn (0.5000, 0.5000, 0.7802)  1 Be 2.24
In (0.0000, 0.0000, 0.4856)  2 Be 2.40-2.49

Calculated values
* calculated volume: 56.63 Å³/f.u.
* D(E_F): 0.829 states/eV per cell
* energy of formation from the pure elements: 0.392 eV/atom
* SG: Pmm2 (25)

***

A crystal of ZrBeIn2 relaxed with PBEsol. Source: Alexandria, functional meta-GGA SCAN.

Cell lengths 3.2189, 3.2189, 7.4575 Å; angles 90.00, 90.00, 93.09 degrees
Closest atoms and distances in Å follow each position.
Element x y z (fractional)
Be (0.5000, 0.5000, 0.2546)  4 Zr 2.67-2.78, 4 In 2.71-2.81
Zr (0.0000, 0.0000, 0.4558)  4 Be 2.67-2.78
In (0.0000, 0.0000, 0.0444)  4 Be 2.71-2.81
In (0.5000, 0.5000, 0.7452)  4 Zr 3.09-3.18, 8 In 3.14-3.23

Calculated values
* calculated volume: 77.16 Å³/f.u.
* D(E_F): 1.224 states/eV per cell
* energy of formation from the pure elements: 0.040 eV/atom
* SG: Cmm2 (35)

***

A crystal of ZrBe2In relaxed with PBEsol. Source: Alexandria, functional meta-GGA SCAN.

Cell lengths 2.9382, 2.9382, 8.9312 Å; angles 80.53, 80.53, 60.00 degrees
Closest atoms and distances in Å follow each position.
Element x y z (fractional)
Be (0.0116, 0.0116, 0.9653)  3 Be 2.34
Be (0.7393, 0.7393, 0.7821)  3 Be 2.34
Zr (0.2591, 0.2591, 0.2227)  3 Be 2.82, 6 Zr 2.94
In (0.4900, 0.4900, 0.5299)  3 Be 2.79, 6 In 2.94

Calculated values
* calculated volume: 65.56 Å³/f.u.
* D(E_F): 1.487 states/eV per cell
* energy of formation from the pure elements: 0.445 eV/atom
* SG: R3m (160)